A plane-wave DFT calculation with PBE with a Hubbard U was carried out for a geometry-optimized MoAs3F structure.

Results
- Density: 4972 kg/m³
- DOS(E_F): 4.68 states/eV/cell
- E: -4.220 eV/atom

Cell: 4.8410 4.8410 4.8410 Å, 90.00 90.00 90.00°
With the nearest neighbours (Å) after each atom.
Space group Pm-3m (No. 221)
Inequivalent atoms, fractional coordinates:
Mo: 0.0000 0.0000 0.0000 x1  6 As 2.42
As: 0.0000 0.0000 0.5000 x3  2 Mo 2.42
F: 0.5000 0.5000 0.5000 x1  12 As 3.42